--- i ---
Computed, not measured: YSi2Rh4 after structural relaxation at the GGA-PBE level of DFT.

extended XYZ file:
```
28
Lattice="4.047 0.000 0.000 0.000 6.407 0.000 0.000 0.000 16.657" Properties=species:S:1:pos:R:3 pbc="T T T"
Y 3.035 6.365 10.630
Y 1.012 0.042 6.027
Y 1.012 3.161 14.355
Y 3.035 3.246 2.302
Si 1.012 4.735 8.977
Si 3.035 1.672 7.680
Si 3.035 1.532 16.009
Si 1.012 4.875 0.648
Si 1.012 6.233 13.035
Si 3.035 0.174 3.622
Si 3.035 3.029 11.950
Si 1.012 3.378 4.706
Rh 1.012 1.716 11.596
Rh 3.035 4.691 5.061
Rh 3.035 4.919 13.389
Rh 1.012 1.488 3.267
Rh 1.012 4.401 11.390
Rh 3.035 2.006 5.267
Rh 3.035 1.198 13.595
Rh 1.012 5.209 3.062
Rh 1.012 0.932 8.819
Rh 3.035 5.475 7.838
Rh 3.035 4.135 16.167
Rh 1.012 2.272 0.490
Rh 1.012 3.214 7.089
Rh 3.035 3.193 9.568
Rh 3.035 0.010 1.240
Rh 1.012 6.397 15.417
```

## Properties
- Total moment: 0.00 μB/f.u.

=====

--- ii ---
Computed, not measured: YSi2Rh4 after structural relaxation at the GGA-PBE level of DFT.

extended XYZ file:
```
14
Lattice="3.759 0.000 0.000 0.000 7.651 0.000 0.000 0.000 7.651" Properties=species:S:1:pos:R:3 pbc="T T T"
Y 1.880 0.000 0.000
Y 0.000 3.825 3.825
Si 0.000 1.752 5.898
Si 0.000 5.898 1.752
Si 1.880 5.578 5.578
Si 1.880 2.073 2.073
Rh 0.000 0.558 2.512
Rh 0.000 7.093 5.139
Rh 1.880 1.313 4.383
Rh 1.880 6.337 3.268
Rh 1.880 3.268 6.337
Rh 1.880 4.383 1.313
Rh 0.000 2.512 0.558
Rh 0.000 5.139 7.093
```

## Properties
- Total moment: 0.00 μB/f.u.

=====

Energetically preferred structure: i | next structure: +17 meV/atom

=====

--- i ---
Computed, not measured: Y2Si3Rh2 after structural relaxation at the GGA-PBE level of DFT.

extended XYZ file:
```
7
Lattice="-0.243 -0.281 -4.139 -4.824 -0.747 2.420 1.693 6.260 -0.524" Properties=species:S:1:pos:R:3 pbc="T T T"
Y -3.177 0.668 -1.945
Y -0.197 4.564 -0.298
Si -0.121 -0.140 -2.069
Si -0.513 2.409 -2.219
Si -2.860 2.824 -0.024
Rh -2.452 4.028 -2.215
Rh -0.922 1.204 -0.028
```

## Properties
- Total moment: 0.00 μB/f.u.

=====

--- ii ---
Computed, not measured: Y2Si3Rh2 after structural relaxation at the GGA-PBE level of DFT.

extended XYZ file:
```
14
Lattice="3.959 0.000 -0.944 0.000 6.945 0.000 0.055 0.000 9.007" Properties=species:S:1:pos:R:3 pbc="T T T"
Y 0.637 1.736 2.670
Y 3.378 5.209 5.393
Y 3.785 1.736 7.104
Y 0.229 5.209 0.959
Si 0.912 5.209 3.826
Si 3.102 1.736 4.237
Si 2.227 2.972 0.568
Si 1.787 3.973 7.495
Si 1.787 6.445 7.495
Si 2.227 0.500 0.568
Rh 2.757 6.605 2.790
Rh 1.257 0.340 5.273
Rh 1.257 3.132 5.273
Rh 2.757 3.813 2.790
```

## Properties
- Total moment: 0.00 μB/f.u.

=====

Energetically preferred structure: ii | next structure: +116 meV/atom

=====

--- i ---
Computed, not measured: Y3Si3Rh2 after structural relaxation at the GGA-PBE level of DFT.

extended XYZ file:
```
16
Lattice="-4.221 -1.421 3.622 2.939 -2.520 -4.239 9.307 -4.453 9.099" Properties=species:S:1:pos:R:3 pbc="T T T"
Y -0.070 -3.224 6.511
Y 8.094 -5.170 1.971
Y -2.592 -2.017 4.045
Y 10.616 -6.377 4.437
Y 0.658 -2.926 3.095
Y 7.367 -5.468 5.387
Si 2.856 -3.901 4.753
Si 5.168 -4.493 3.729
Si -1.067 -2.024 0.917
Si 9.092 -6.370 7.565
Si 2.864 -3.265 0.672
Si 5.160 -5.129 7.810
Rh 5.866 -5.749 10.302
Rh 2.159 -2.645 -1.819
Rh 2.719 -4.243 7.225
Rh 5.306 -4.151 1.257
```

## Properties
- Total moment: 0.00 μB/f.u.

=====

--- ii ---
Computed, not measured: Y3Si3Rh2 after structural relaxation at the GGA-PBE level of DFT.

extended XYZ file:
```
32
Lattice="5.699 0.000 0.000 0.000 7.942 0.000 0.000 0.000 13.970" Properties=species:S:1:pos:R:3 pbc="T T T"
Y 0.709 3.620 5.402
Y 3.559 0.351 8.568
Y 4.990 4.322 12.387
Y 2.140 7.591 1.583
Y 4.990 4.322 8.568
Y 2.140 7.591 5.402
Y 0.709 3.620 1.583
Y 3.559 0.351 12.387
Y 3.581 2.437 3.492
Y 0.732 1.534 10.477
Y 2.117 5.505 10.477
Y 4.967 6.408 3.492
Si 0.559 1.267 3.492
Si 3.408 2.704 10.477
Si 5.140 6.675 10.477
Si 2.290 5.238 3.492
Si 3.585 2.401 6.417
Si 0.735 1.570 7.552
Si 2.114 5.541 13.402
Si 4.964 6.372 0.567
Si 2.114 5.541 7.552
Si 4.964 6.372 6.417
Si 3.585 2.401 0.567
Si 0.735 1.570 13.402
Rh 5.075 0.687 5.718
Rh 2.226 3.283 8.251
Rh 0.624 7.254 12.703
Rh 3.473 4.658 1.266
Rh 0.624 7.254 8.251
Rh 3.473 4.658 5.718
Rh 5.075 0.687 1.266
Rh 2.226 3.283 12.703
```

## Properties
- Total moment: 0.00 μB/f.u.

=====

Energetically preferred structure: i | next structure: +35 meV/atom